[1]
A crystal of La5Y3 relaxed with PBEsol. Source: Alexandria via LeMat-Bulk, functional SCAN.

```
data_La5Y3
_chemical_formula_sum 'La10 Y6'
_cell_length_a 10.062
_cell_length_b 10.174
_cell_length_c 5.122
_cell_angle_alpha 90.00
_cell_angle_beta 90.00
_cell_angle_gamma 90.00
_space_group_name_H-M_alt 'C m m m'
_space_group_IT_number 65
_space_group_name_Hall '-C 2 2'
loop_
_atom_site_label
_atom_site_type_symbol
_atom_site_fract_x
_atom_site_fract_y
_atom_site_fract_z
_atom_site_occupancy
La1 La 0.000 0.000 0.000 1
La2 La 0.249 0.500 0.500 1
La3 La 0.250 0.250 0.000 1
Y1 Y 0.000 0.252 0.500 1
Y2 Y 0.000 0.500 0.000 1
```

Properties
energy relative to the elements	0.19	eV/f.u.
Fermi-level density of states	21.42	states/eV per cell

[2]
A crystal of CdAu relaxed with PBEsol. Source: Alexandria via LeMat-Bulk, functional SCAN.

```
data_CdAu
_chemical_formula_sum 'Cd4 Au4'
_cell_length_a 4.087
_cell_length_b 4.087
_cell_length_c 8.666
_cell_angle_alpha 90.00
_cell_angle_beta 90.00
_cell_angle_gamma 90.00
_space_group_name_H-M_alt 'I 41/a m d'
_space_group_IT_number 141
loop_
_space_group_symop_operation_xyz
'x,y,z'
'-x,-y,-z'
'-y+1/4,x+3/4,z+1/4'
'y+1/4,-x+3/4,-z+1/4'
'-x+1/2,-y,z+1/2'
'x+1/2,y,-z+1/2'
'y+1/4,-x+1/4,z+3/4'
'-y+1/4,x+1/4,-z+3/4'
'x,-y,-z'
'-x,y,z'
'-y+1/4,-x+1/4,-z+3/4'
'y+1/4,x+1/4,z+3/4'
'-x+1/2,y,-z+1/2'
'x+1/2,-y,z+1/2'
'y+1/4,x+3/4,-z+1/4'
'-y+1/4,-x+3/4,z+1/4'
'x+1/2,y+1/2,z+1/2'
'-x+1/2,-y+1/2,-z+1/2'
'-y+3/4,x+1/4,z+3/4'
'y+3/4,-x+1/4,-z+3/4'
'-x,-y+1/2,z'
'x,y+1/2,-z'
'y+3/4,-x+3/4,z+1/4'
'-y+3/4,x+3/4,-z+1/4'
'x+1/2,-y+1/2,-z+1/2'
'-x+1/2,y+1/2,z+1/2'
'-y+3/4,-x+3/4,-z+1/4'
'y+3/4,x+3/4,z+1/4'
'-x,y+1/2,-z'
'x,-y+1/2,z'
'y+3/4,x+1/4,-z+3/4'
'-y+3/4,-x+1/4,z+3/4'
loop_
_atom_site_label
_atom_site_type_symbol
_atom_site_fract_x
_atom_site_fract_y
_atom_site_fract_z
_atom_site_occupancy
Cd1 Cd 0.000 0.250 0.375 1
Au1 Au 0.000 0.250 0.875 1
```

Properties
energy relative to the elements	-0.45	eV/f.u.
Fermi-level density of states	1.84	states/eV per cell

[3]
A crystal of CaTaTl2 relaxed with PBEsol. Source: Alexandria via LeMat-Bulk, functional SCAN.

```
data_CaTaTl2
_chemical_formula_sum 'Ca1 Ta1 Tl2'
_cell_length_a 3.207
_cell_length_b 5.326
_cell_length_c 5.327
_cell_angle_alpha 90.00
_cell_angle_beta 90.00
_cell_angle_gamma 90.00
_space_group_name_H-M_alt 'P 1 m 1'
_space_group_IT_number 6
loop_
_space_group_symop_operation_xyz
'x,y,z'
'x,-y,z'
loop_
_atom_site_label
_atom_site_type_symbol
_atom_site_fract_x
_atom_site_fract_y
_atom_site_fract_z
_atom_site_occupancy
Ca1 Ca 0.000 0.000 0.000 1
Ta1 Ta 0.841 0.500 0.499 1
Tl1 Tl 0.471 0.000 0.500 1
Tl2 Tl 0.471 0.500 0.999 1
```

Properties
energy relative to the elements	1.02	eV/f.u.
Fermi-level density of states	1.69	states/eV per cell